# PBE YCr2Se, optimized geometry
# **Formation energy from raw total energies**: -0.212 eV/atom
# **Total energy**: -30.04 eV/cell
# **M_tot**: 0.00 μB/cell
data_YCr2Se
_chemical_formula_sum 'Y1 Cr2 Se1'
_cell_length_a 3.7211
_cell_length_b 3.7211
_cell_length_c 5.7738
_cell_angle_alpha 90.00
_cell_angle_beta 90.00
_cell_angle_gamma 90.00
_symmetry_space_group_name_H-M 'P 4 m m'
_symmetry_Int_Tables_number 99
loop_
_symmetry_equiv_pos_as_xyz
'x,y,z'
'-y,x,z'
'-x,-y,z'
'y,-x,z'
'-x,y,z'
'y,x,z'
'x,-y,z'
'-y,-x,z'
loop_
_atom_site_label
_atom_site_fract_x
_atom_site_fract_y
_atom_site_fract_z
_atom_site_occupancy
Y1 0.0000 0.0000 0.0000 1
Cr1 0.0000 0.5000 0.4546 1
Se1 0.5000 0.5000 0.7950 1